[1]
{"formula": "Ac4Ir3Rh", "functional": "GGA-PBE", "state": "relaxed", "formation_enthalpy_0k_mev_per_atom": -605, "energy_ry_per_atom": -0.507, "sg": "Pmm2, No. 25", "lattice": [[4.1713, -0.0085, 0.0000], [0.0083, 4.3740, 0.0000], [0.0000, 0.0000, 11.5882]], "species": ["Ac", "Ac", "Ac", "Ac", "Ir", "Ir", "Ir", "Rh"], "fractional_positions": [[0.0000, 0.5000, 0.8592], [0.5000, 0.0000, 0.6402], [0.5000, 0.5000, 0.3611], [0.0000, 0.0000, 0.1383], [0.0000, 0.5000, 0.5787], [0.5000, 0.0000, 0.9197], [0.0000, 0.0000, 0.4210], [0.5000, 0.5000, 0.0819]]}

[2]
{"formula": "Ac8IrRh5", "functional": "GGA-PBE", "state": "relaxed", "formation_enthalpy_0k_mev_per_atom": -632, "energy_ry_per_atom": -0.458, "sg": "I-4, No. 82", "lattice": [[-7.8696, -1.8149, 0.0918], [4.1293, -6.1152, -3.2843], [2.5786, 1.2324, 7.5542]], "species": ["Rh", "Rh", "Rh", "Rh", "Rh", "Ac", "Ac", "Ac", "Ac", "Ac", "Ac", "Ac", "Ac", "Ir"], "fractional_positions": [[0.9975, 0.3744, 0.1229], [0.7486, 0.6256, 0.6231], [0.3769, 0.1254, 0.0025], [0.8771, 0.8746, 0.2514], [0.5000, 0.0000, 0.5000], [0.1232, 0.7487, 0.9868], [0.2381, 0.2513, 0.3746], [0.6254, 0.8635, 0.8768], [0.0132, 0.1365, 0.7619], [0.6215, 0.3623, 0.8738], [0.7408, 0.2523, 0.3785], [0.1262, 0.7477, 0.4886], [0.5114, 0.6377, 0.2592], [0.2500, 0.5000, 0.7500]]}

[3]
{"formula": "Ac3IrRh", "functional": "GGA-PBE", "state": "relaxed", "formation_enthalpy_0k_mev_per_atom": -631, "energy_ry_per_atom": -0.466, "polymorph_energy_mev_per_atom": 0, "sg": "Cmc2_1, No. 36", "lattice": [[-1.3502, 3.0555, 2.9909], [-5.8151, -3.1769, 0.6204], [4.9666, -7.7610, 6.8099]], "species": ["Ir", "Ir", "Ac", "Ac", "Ac", "Ac", "Ac", "Ac", "Rh", "Rh"], "fractional_positions": [[0.8286, 0.5149, 0.6571], [0.1714, 0.0149, 0.3429], [0.3886, 0.2849, 0.7772], [0.6114, 0.7849, 0.2228], [0.0560, 0.2623, 0.1120], [0.2769, 0.7487, 0.5537], [0.9440, 0.7623, 0.8880], [0.7231, 0.2487, 0.4463], [0.4975, 0.0200, 0.9950], [0.5025, 0.5200, 0.0050]]}

[4]
{"formula": "Ac6IrRh", "functional": "GGA-PBE", "state": "relaxed", "formation_enthalpy_0k_mev_per_atom": -412, "energy_ry_per_atom": -0.406, "sg": "R-3, No. 148", "lattice": [[-2.9574, -5.5570, 3.7285], [2.7913, -6.7324, -0.6401], [4.2509, -2.8194, 6.3488]], "species": ["Ac", "Ac", "Ac", "Ac", "Ac", "Ac", "Ir", "Rh"], "fractional_positions": [[0.2493, 0.9135, 0.2498], [0.7507, 0.0865, 0.7502], [0.4123, 0.7508, 0.7499], [0.9135, 0.5874, 0.2502], [0.5877, 0.2492, 0.2501], [0.0865, 0.4126, 0.7498], [0.0000, 0.0000, 0.0000], [0.5000, 0.5000, 0.5000]]}

[5]
{"formula": "Ac2IrRh3", "functional": "GGA-PBE", "state": "relaxed", "formation_enthalpy_0k_mev_per_atom": -572, "energy_ry_per_atom": -0.521, "polymorph_energy_mev_per_atom": 0, "sg": "R-3m, No. 166", "lattice": [[-4.0982, 1.7033, 3.3561], [-1.0001, -0.8439, -5.4081], [1.9920, -5.1638, 0.4277]], "species": ["Ac", "Ac", "Ir", "Rh", "Rh", "Rh"], "fractional_positions": [[0.2508, 0.6255, 0.8763], [0.7492, 0.3745, 0.1237], [0.0000, 0.0000, 0.0000], [0.5000, 0.5000, 0.5000], [0.0000, 0.0000, 0.5000], [0.5000, 0.0000, 0.5000]]}

[6]
{"formula": "Ac8Ir2Rh", "functional": "GGA-PBE", "state": "relaxed", "formation_enthalpy_0k_mev_per_atom": -418, "energy_ry_per_atom": -0.418, "polymorph_energy_mev_per_atom": 0, "sg": "C2/m, No. 12", "lattice": [[-1.2244, 4.2802, -5.6335], [-6.9691, 2.3075, 3.3052], [0.5392, 6.4344, 4.8088]], "species": ["Ac", "Ac", "Ac", "Ac", "Ac", "Ac", "Ac", "Ac", "Ir", "Ir", "Rh"], "fractional_positions": [[0.6695, 0.3681, 0.3681], [0.8339, 0.3893, 0.8638], [0.8339, 0.8638, 0.3893], [0.3305, 0.6319, 0.6319], [0.3390, 0.1209, 0.1209], [0.6610, 0.8791, 0.8791], [0.1661, 0.1362, 0.6107], [0.1661, 0.6107, 0.1362], [0.9905, 0.2368, 0.2368], [0.0095, 0.7632, 0.7632], [0.0000, 0.0000, 0.0000]]}

[7]
{"formula": "Ac8Ir4Rh", "functional": "GGA-PBE", "state": "relaxed", "formation_enthalpy_0k_mev_per_atom": -522, "energy_ry_per_atom": -0.466, "sg": "Cm, No. 8", "lattice": [[-2.4764, 2.0321, -3.0358], [-2.1774, -8.4428, -7.0833], [-9.8680, -2.6527, 3.0660]], "species": ["Ir", "Ir", "Ir", "Ir", "Ac", "Ac", "Ac", "Ac", "Ac", "Ac", "Ac", "Ac", "Rh"], "fractional_positions": [[0.6387, 0.5397, 0.1828], [0.1526, 0.1756, 0.5193], [0.8383, 0.8211, 0.5023], [0.3582, 0.4364, 0.8471], [0.5361, 0.2449, 0.6830], [0.1206, 0.4173, 0.3415], [0.8221, 0.3384, 0.0173], [0.8673, 0.5784, 0.6870], [0.7770, 0.0774, 0.3686], [0.2099, 0.9123, 0.6679], [0.1732, 0.6561, 0.9976], [0.4560, 0.7481, 0.3400], [0.6952, 0.7867, 0.8229]]}

[8]
{"formula": "Ac12Ir5Rh3", "functional": "GGA-PBE", "state": "relaxed", "formation_enthalpy_0k_mev_per_atom": -322, "energy_ry_per_atom": -0.449, "sg": "Ia-3d, No. 230", "lattice": [[-13.6659, -5.4413, -4.5766], [2.5437, -4.1450, 14.6171], [0.0234, 15.3685, -1.0577]], "species": ["Rh", "Rh", "Rh", "Rh", "Rh", "Rh", "Rh", "Rh", "Rh", "Rh", "Rh", "Rh", "Ac", "Ac", "Ac", "Ac", "Ac", "Ac", "Ac", "Ac", "Ac", "Ac", "Ac", "Ac", "Ac", "Ac", "Ac", "Ac", "Ac", "Ac", "Ac", "Ac", "Ac", "Ac", "Ac", "Ac", "Ac", "Ac", "Ac", "Ac", "Ac", "Ac", "Ac", "Ac", "Ac", "Ac", "Ac", "Ac", "Ac", "Ac", "Ac", "Ac", "Ac", "Ac", "Ac", "Ac", "Ac", "Ac", "Ac", "Ac", "Ir", "Ir", "Ir", "Ir", "Ir", "Ir", "Ir", "Ir", "Ir", "Ir", "Ir", "Ir", "Ir", "Ir", "Ir", "Ir", "Ir", "Ir", "Ir", "Ir"], "fractional_positions": [[0.6250, 0.3750, 0.7500], [0.6250, 0.2500, 0.3750], [0.3750, 0.7500, 0.6250], [0.1250, 0.2500, 0.8750], [0.2500, 0.1250, 0.3750], [0.2500, 0.6250, 0.8750], [0.7500, 0.3750, 0.1250], [0.7500, 0.8750, 0.6250], [0.8750, 0.1250, 0.2500], [0.8750, 0.7500, 0.1250], [0.3750, 0.6250, 0.2500], [0.1250, 0.8750, 0.7500], [0.0417, 0.4136, 0.8241], [0.8720, 0.2825, 0.4583], [0.8720, 0.5895, 0.9136], [0.7175, 0.1280, 0.0417], [0.7825, 0.3241, 0.9105], [0.4583, 0.7825, 0.8720], [0.6759, 0.4583, 0.5864], [0.4136, 0.0417, 0.3241], [0.1280, 0.7175, 0.5417], [0.2825, 0.4105, 0.8241], [0.0895, 0.9136, 0.3720], [0.5864, 0.6280, 0.4105], [0.3720, 0.4136, 0.0895], [0.5417, 0.2175, 0.1280], [0.5895, 0.7175, 0.6759], [0.3720, 0.9583, 0.7825], [0.4105, 0.2825, 0.3241], [0.9583, 0.5864, 0.1759], [0.1759, 0.0864, 0.9583], [0.9136, 0.8241, 0.5417], [0.2175, 0.5417, 0.6280], [0.9583, 0.3720, 0.2825], [0.3241, 0.5417, 0.4136], [0.8241, 0.9105, 0.2825], [0.0895, 0.1759, 0.2175], [0.5417, 0.3241, 0.9136], [0.4136, 0.3720, 0.5895], [0.7825, 0.4583, 0.3720], [0.9105, 0.8241, 0.7825], [0.9105, 0.0864, 0.6280], [0.7175, 0.5895, 0.1759], [0.1759, 0.0895, 0.7175], [0.5864, 0.9583, 0.6759], [0.8241, 0.9136, 0.0417], [0.6759, 0.2175, 0.5895], [0.9136, 0.0895, 0.8720], [0.2175, 0.6759, 0.0895], [0.6280, 0.5864, 0.9105], [0.1280, 0.4105, 0.0864], [0.4105, 0.1280, 0.5864], [0.5895, 0.8720, 0.4136], [0.3241, 0.7825, 0.4105], [0.0417, 0.6280, 0.7175], [0.6280, 0.0417, 0.2175], [0.4583, 0.6759, 0.0864], [0.0864, 0.9105, 0.1280], [0.2825, 0.8720, 0.9583], [0.0864, 0.1759, 0.4583], [0.2500, 0.8750, 0.1250], [0.3750, 0.1250, 0.7500], [0.0000, 0.0000, 0.0000], [0.2500, 0.3750, 0.6250], [0.6250, 0.7500, 0.8750], [0.0000, 0.0000, 0.5000], [0.7500, 0.6250, 0.3750], [0.5000, 0.5000, 0.0000], [0.8750, 0.6250, 0.7500], [0.1250, 0.3750, 0.2500], [0.5000, 0.5000, 0.5000], [0.5000, 0.0000, 0.0000], [0.0000, 0.5000, 0.0000], [0.5000, 0.0000, 0.5000], [0.6250, 0.8750, 0.2500], [0.3750, 0.2500, 0.1250], [0.0000, 0.5000, 0.5000], [0.7500, 0.1250, 0.8750], [0.8750, 0.2500, 0.6250], [0.1250, 0.7500, 0.3750]]}

[9]
{"formula": "Ac9Ir2Rh4", "functional": "GGA-PBE", "state": "relaxed", "formation_enthalpy_0k_mev_per_atom": -618, "energy_ry_per_atom": -0.457, "sg": "P-3c1, No. 165", "lattice": [[7.4580, 0.0009, 0.0160], [3.7282, 6.4589, 0.0415], [-0.0445, -0.1057, 20.7023]], "species": ["Ac", "Ac", "Ac", "Ac", "Ac", "Ac", "Ac", "Ac", "Ac", "Ac", "Ac", "Ac", "Ac", "Ac", "Ac", "Ac", "Ac", "Ac", "Rh", "Rh", "Rh", "Rh", "Rh", "Rh", "Rh", "Rh", "Ir", "Ir", "Ir", "Ir"], "fractional_positions": [[0.9999, 0.6720, 0.2500], [0.6670, 0.9980, 0.4165], [0.3281, 0.6719, 0.7500], [0.6719, 0.3281, 0.2500], [0.3351, 0.9979, 0.9164], [0.0020, 0.6649, 0.5835], [0.0021, 0.3330, 0.0836], [0.3330, 0.0020, 0.5835], [0.9979, 0.6670, 0.9164], [0.0001, 0.3280, 0.7500], [0.9980, 0.3351, 0.4165], [0.3280, 0.0001, 0.2500], [0.6671, 0.3350, 0.9164], [0.6720, 0.9999, 0.7500], [0.6651, 0.3329, 0.5835], [0.3329, 0.6650, 0.0836], [0.6649, 0.0021, 0.0836], [0.3349, 0.6671, 0.4165], [0.3333, 0.3333, 0.0013], [0.6667, 0.6666, 0.8347], [0.3333, 0.3334, 0.1653], [0.3333, 0.3333, 0.5013], [0.3334, 0.3332, 0.6652], [0.6667, 0.6667, 0.4987], [0.6667, 0.6667, 0.9987], [0.6666, 0.6668, 0.3348], [0.9999, 0.0000, 0.1648], [0.0001, 0.0000, 0.8352], [0.9999, 0.0001, 0.3353], [0.0001, 0.9999, 0.6647]]}

[10]
{"formula": "Ac8IrRh2", "functional": "GGA-PBE", "state": "relaxed", "formation_enthalpy_0k_mev_per_atom": -438, "energy_ry_per_atom": -0.409, "polymorph_energy_mev_per_atom": 0, "sg": "C2/m, No. 12", "lattice": [[-2.2641, 2.7695, 2.1785], [-0.5247, -6.2617, 7.4153], [9.5646, 2.8579, 2.2812]], "species": ["Rh", "Rh", "Ac", "Ac", "Ac", "Ac", "Ac", "Ac", "Ac", "Ac", "Ir"], "fractional_positions": [[0.8364, 0.2688, 0.6729], [0.1636, 0.7312, 0.3271], [0.9888, 0.7921, 0.9776], [0.6507, 0.9611, 0.3014], [0.3493, 0.0389, 0.6986], [0.5989, 0.5450, 0.1977], [0.2252, 0.3297, 0.4504], [0.7748, 0.6703, 0.5496], [0.4011, 0.4550, 0.8023], [0.0112, 0.2079, 0.0224], [0.5000, 0.0000, 0.0000]]}

[11]
{"formula": "Ac6IrRuRh", "functional": "GGA-PBE", "state": "relaxed", "formation_enthalpy_0k_mev_per_atom": -442, "energy_ry_per_atom": -0.442, "sg": "P4_2nm, No. 102", "lattice": [[7.0657, 0.0000, 0.0000], [0.0000, 7.0657, 0.0000], [0.0000, 0.0000, 13.3364]], "species": ["Ac", "Ac", "Ac", "Ac", "Ac", "Ac", "Ac", "Ac", "Ac", "Ac", "Ac", "Ac", "Ir", "Ir", "Rh", "Rh", "Ru", "Ru"], "fractional_positions": [[0.8016, 0.1984, 0.4990], [0.8006, 0.1994, 0.1683], [0.7025, 0.7025, 0.3329], [0.3016, 0.3016, 0.9990], [0.2025, 0.7975, 0.8329], [0.3006, 0.3006, 0.6683], [0.1984, 0.8016, 0.4990], [0.6984, 0.6984, 0.9990], [0.6994, 0.6994, 0.6683], [0.7975, 0.2025, 0.8329], [0.1994, 0.8006, 0.1683], [0.2975, 0.2975, 0.3329], [0.5000, 0.5000, 0.1679], [0.0000, 0.0000, 0.6679], [0.5000, 0.5000, 0.4985], [0.0000, 0.0000, 0.9985], [0.5000, 0.5000, 0.8331], [0.0000, 0.0000, 0.3331]]}

[12]
{"formula": "Ac6IrRuRh2", "functional": "GGA-PBE", "state": "relaxed", "formation_enthalpy_0k_mev_per_atom": -492, "energy_ry_per_atom": -0.459, "sg": "P1, No. 1", "lattice": [[-3.7832, -2.9910, 5.6991], [-4.6019, -5.7560, -1.1936], [2.3210, -7.2379, 2.6270]], "species": ["Ac", "Ac", "Ac", "Ac", "Ac", "Ac", "Rh", "Rh", "Ir", "Ru"], "fractional_positions": [[0.4174, 0.7469, 0.7527], [0.7466, 0.0831, 0.7527], [0.0830, 0.4174, 0.7528], [0.2480, 0.9205, 0.2509], [0.5810, 0.2477, 0.2509], [0.9204, 0.5806, 0.2510], [0.4973, 0.4974, 0.5079], [0.9972, 0.9973, 0.0082], [0.8343, 0.8343, 0.4972], [0.3363, 0.3363, 0.9910]]}

[13]
{"formula": "Ac4IrRhS2", "functional": "GGA-PBE", "state": "relaxed", "energy_ry_per_atom": -0.471, "e_form_raw_mev_per_atom": -1301, "sg": "P2/m, No. 10", "lattice": [[4.2810, 0.0000, 0.0000], [0.0000, 7.4108, 0.1283], [0.0000, -2.5921, 7.4181]], "species": ["Rh", "Ir", "Ac", "Ac", "Ac", "Ac", "S", "S"], "fractional_positions": [[0.5000, 0.5000, 0.0000], [0.0000, 0.0000, 0.0000], [0.0000, 0.7454, 0.2333], [0.5000, 0.2434, 0.2327], [0.0000, 0.2546, 0.7667], [0.5000, 0.7566, 0.7673], [0.5000, 0.0000, 0.5000], [0.0000, 0.5000, 0.5000]]}

[14]
{"formula": "Ac8Ir3RhS4", "functional": "GGA-PBE", "state": "relaxed", "energy_ry_per_atom": -0.478, "e_form_raw_mev_per_atom": -1301, "sg": "R-3m, No. 166", "lattice": [[-1.6944, 6.3046, -5.5480], [-8.7634, -1.6278, 0.8266], [4.5529, 1.6265, 7.0727]], "species": ["Ac", "Ac", "Ac", "Ac", "Ac", "Ac", "Ac", "Ac", "S", "S", "S", "S", "Ir", "Ir", "Ir", "Rh"], "fractional_positions": [[0.7553, 0.2674, 0.5107], [0.7441, 0.7322, 0.4882], [0.2447, 0.7326, 0.4893], [0.7433, 0.7325, 0.9879], [0.2567, 0.2675, 0.0121], [0.2446, 0.7325, 0.9879], [0.2559, 0.2678, 0.5118], [0.7554, 0.2675, 0.0121], [0.5000, 0.0000, 0.5000], [0.5000, 0.0000, 0.0000], [0.0000, 0.0000, 0.5000], [0.0000, 0.0000, 0.0000], [0.0000, 0.5000, 0.5000], [0.5000, 0.5000, 0.0000], [0.5000, 0.5000, 0.5000], [0.0000, 0.5000, 0.0000]]}

[15]
{"formula": "Ac6Ir2RhS", "functional": "GGA-PBE", "state": "relaxed", "energy_ry_per_atom": -0.457, "e_form_raw_mev_per_atom": -832, "sg": "R3, No. 146", "lattice": [[-5.9928, -1.8723, 4.1186], [-0.4617, -6.8382, 3.0636], [1.0976, -0.5191, 8.2036]], "species": ["Rh", "Ac", "Ac", "Ac", "Ac", "Ac", "Ac", "S", "Ir", "Ir"], "fractional_positions": [[0.8232, 0.8231, 0.5303], [0.2310, 0.9068, 0.2565], [0.7433, 0.1023, 0.7422], [0.1024, 0.4121, 0.7423], [0.4122, 0.7433, 0.7425], [0.9068, 0.6056, 0.2564], [0.6057, 0.2311, 0.2564], [0.3236, 0.3234, 0.0296], [0.0062, 0.0063, 0.9813], [0.5073, 0.5076, 0.4776]]}

[16]
{"formula": "Ac8IrRh3S4", "functional": "GGA-PBE", "state": "relaxed", "energy_ry_per_atom": -0.464, "e_form_raw_mev_per_atom": -1298, "sg": "R-3m, No. 166", "lattice": [[8.5422, 0.0000, 0.0000], [0.0000, 8.9644, 0.2865], [-4.2711, -4.2632, 6.0457]], "species": ["S", "S", "S", "S", "Ac", "Ac", "Ac", "Ac", "Ac", "Ac", "Ac", "Ac", "Rh", "Rh", "Rh", "Ir"], "fractional_positions": [[0.5000, 0.0000, 0.0000], [0.5000, 0.0000, 0.5000], [0.0000, 0.0000, 0.5000], [0.0000, 0.0000, 0.0000], [0.7561, 0.2669, 0.5121], [0.2554, 0.2662, 0.5108], [0.7560, 0.2668, 0.0108], [0.2547, 0.2668, 0.0108], [0.2440, 0.7332, 0.9892], [0.7453, 0.7332, 0.9892], [0.7446, 0.7338, 0.4892], [0.2439, 0.7331, 0.4879], [0.0000, 0.5000, 0.5000], [0.5000, 0.5000, 0.5000], [0.5000, 0.5000, 0.0000], [0.0000, 0.5000, 0.0000]]}

[17]
{"formula": "Ac2Sb4IrRh3", "functional": "GGA-PBE", "state": "relaxed", "energy_ry_per_atom": -0.467, "e_form_raw_mev_per_atom": -789, "sg": "P-4m2, No. 115", "lattice": [[4.6473, 0.0000, 0.0000], [0.0000, 4.6473, 0.0000], [0.0000, 0.0000, 10.5955]], "species": ["Sb", "Sb", "Sb", "Sb", "Ac", "Ac", "Rh", "Rh", "Rh", "Ir"], "fractional_positions": [[0.0000, 0.5000, 0.3706], [0.5000, 0.5000, 0.0000], [0.0000, 0.0000, 0.0000], [0.5000, 0.0000, 0.6294], [0.0000, 0.5000, 0.7451], [0.5000, 0.0000, 0.2549], [0.5000, 0.0000, 0.8777], [0.0000, 0.5000, 0.1223], [0.0000, 0.0000, 0.5000], [0.5000, 0.5000, 0.5000]]}

no.,total magnetic moment (μB/atom)
1,0.000
2,0.000
3,0.000
4,0.000
5,0.000
6,0.000
7,0.000
8,0.000
9,0.000
10,0.000
11,0.000
12,0.000
13,0.000
14,0.000
15,0.000
16,0.000
17,0.018